A plane-wave DFT calculation with meta-GGA SCAN was carried out for BaZrSi2 at its PBEsol-relaxed geometry.

a = 3.6428 Å, b = 3.6428 Å, c = 6.8262 Å
α = 90.00°, β = 90.00°, γ = 90.00°
Fractional coordinates of all 4 atoms:
Si1 0.0000 0.0000 0.8269
Si2 0.0000 0.0000 0.1731
Zr1 0.5000 0.5000 0.0000
Ba1 0.5000 0.5000 0.5000

Theoretical density   5.22 g cm⁻³
E_tot   -91.88 eV for the cell shown
Formation energy without anion corrections   -38.6 kJ per mole of atoms
Total magnetic moment   0.00 μB/f.u.